# PBE with a Hubbard U RbPaNiO4, relaxed
data_RbPaNiO4
_cell_length_a 6.545
_cell_length_b 6.984
_cell_length_c 7.215
_cell_angle_alpha 121.10
_cell_angle_beta 90.00
_cell_angle_gamma 117.94
_symmetry_space_group_name_H-M 'P 1'
_symmetry_Int_Tables_number 1
loop_
_symmetry_equiv_pos_as_xyz
'x,y,z'
loop_
_atom_site_label
_atom_site_fract_x
_atom_site_fract_y
_atom_site_fract_z
_atom_site_occupancy
Rb1 0.838 0.675 0.088 1
Rb2 0.162 0.325 0.912 1
Pa1 0.500 0.000 0.500 1
Pa2 0.500 0.000 0.000 1
Ni1 0.500 0.500 0.500 1
Ni2 0.000 0.500 0.500 1
O1 0.711 0.421 0.645 1
O2 0.300 0.999 0.250 1
O3 0.699 0.999 0.250 1
O4 0.711 0.421 0.277 1
O5 0.289 0.579 0.723 1
O6 0.700 0.001 0.750 1
O7 0.301 0.001 0.750 1
O8 0.289 0.579 0.355 1
# - D(E_F): 0.00 states/eV/atom
# - Spin magnetization: 2.1 μB/f.u.
# - Space-group type: No. 74
# - VASP energy: -6.980 eV per atom